No. 1
MnAlAu2 | GGA-PBEsol | optimized geometry

Cell: 4.4184 4.4559 4.4170 Å, 60.29 90.00 119.68°
Atoms (fractional coordinates):
Au1 0.7503 0.5002 0.7499
Mn1 0.5000 0.0000 0.5000
Au2 0.2497 0.4998 0.2501
Al1 0.0000 0.0000 0.0000

## Properties
- DFT formation energy: -0.217 eV per atom
- Crystal system: tetragonal
- Calculated volume: 62 Å³ per cell

No. 2
Mn2AlAuSe | GGA-PBEsol | optimized geometry

Cell: 4.4353 4.4353 4.7894 Å, 90.00 90.00 90.00°
Atoms (fractional coordinates):
Al1 0.0000 0.0000 0.5000
Au1 0.5000 0.5000 0.5000
Se1 0.0000 0.0000 0.0000
Mn1 0.5000 0.0000 0.0000
Mn2 0.0000 0.5000 0.0000

## Properties
- Raw formation energy: 0.673 eV/atom
- Crystal system: tetragonal
- Calculated volume: 94 Å³ per cell

No. 3
Al2MoAu | GGA-PBEsol | optimized geometry

Cell: 3.4571 4.1626 4.1626 Å, 90.00 90.00 90.00°
Atoms (fractional coordinates):
Al1 0.0000 0.0000 0.5000
Al2 0.0000 0.5000 0.0000
Au1 0.5000 0.5000 0.5000
Mo1 0.5000 0.0000 0.0000

## Properties
- DFT formation energy: -0.316 eV per atom
- Energy above the most stable polymorph in this dataset: 0.00 eV per formula unit
- Crystal system: tetragonal
- Calculated volume: 60 Å³ per cell

No. 4
AlMo2Au | GGA-PBEsol | optimized geometry

Cell: 2.7499 5.0160 5.0160 Å, 117.34 90.00 90.00°
Atoms (fractional coordinates):
Al1 0.5000 0.0000 0.0000
Mo1 0.0000 0.5000 0.0000
Au1 0.5000 0.5000 0.5000
Mo2 0.0000 0.0000 0.5000

## Properties
- DFT formation energy: -0.005 eV per atom
- Crystal system: orthorhombic
- Calculated volume: 61 Å³ per cell

No. 5
Al2MoAu | GGA-PBEsol | optimized geometry

Cell: 2.8624 2.8624 8.9592 Å, 80.81 80.81 60.00°
Atoms (fractional coordinates):
Al1 0.7489 0.7489 0.7533
Al2 0.2511 0.2511 0.2467
Au1 0.5000 0.5000 0.5000
Mo1 0.0000 0.0000 0.0000

## Properties
- DFT formation energy: -0.133 eV per atom
- Energy above the most stable polymorph in this dataset: 0.73 eV per formula unit
- Crystal system: trigonal
- Calculated volume: 62 Å³ per cell

No. 6
AlMoAu3 | GGA-PBEsol | optimized geometry

Cell: 4.6632 4.6632 4.6632 Å, 90.00 90.00 90.00°
Atoms (fractional coordinates):
Mo1 0.5000 0.5000 0.5000
Au1 0.0000 0.0000 0.5000
Au2 0.0000 0.5000 0.0000
Al1 0.0000 0.0000 0.0000
Au3 0.5000 0.0000 0.0000

## Properties
- DFT formation energy: 0.951 eV per atom
- Crystal system: cubic
- Calculated volume: 101 Å³ per cell

No. 7
AlMo2Au | GGA-PBEsol | optimized geometry

Cell: 2.7483 4.2863 5.2303 Å, 90.00 90.00 90.00°
Atoms (fractional coordinates):
Mo1 0.0000 0.0000 0.7629
Mo2 0.0000 0.0000 0.2371
Al1 0.5000 0.5000 0.0000
Au1 0.5000 0.5000 0.5000

## Properties
- DFT formation energy: -0.008 eV per atom
- Crystal system: orthorhombic
- Calculated volume: 62 Å³ per cell

No. 8
Al2MoAu | GGA-PBEsol | optimized geometry

Cell: 4.3738 4.3738 4.3738 Å, 60.00 60.00 60.00°
Atoms (fractional coordinates):
Al1 0.7500 0.7500 0.7500
Mo1 0.5000 0.5000 0.5000
Au1 0.0000 0.0000 0.0000
Al2 0.2500 0.2500 0.2500

## Properties
- DFT formation energy: -0.161 eV per atom
- Energy above the most stable polymorph in this dataset: 0.62 eV per formula unit
- Crystal system: cubic
- Calculated volume: 59 Å³ per cell

No. 9
AlMo2Au | GGA-PBEsol | optimized geometry

Cell: 2.7843 4.3342 5.1910 Å, 90.00 96.83 90.00°
Atoms (fractional coordinates):
Mo1 0.9642 0.0000 0.0105
Al1 0.3779 0.0000 0.4921
Au1 0.3894 0.5000 0.7434
Mo2 0.7684 0.5000 0.2539

## Properties
- DFT formation energy: -0.045 eV per atom
- Crystal system: monoclinic
- Calculated volume: 62 Å³ per cell

No. 10
AlMo2Au | GGA-PBEsol | optimized geometry

Cell: 2.7410 2.7410 8.7214 Å, 90.00 90.00 108.46°
Atoms (fractional coordinates):
Mo1 0.5000 0.5000 0.7459
Au1 0.5000 0.5000 0.2598
Mo2 0.0000 0.0000 0.9895
Al1 0.0000 0.0000 0.5048

## Properties
- DFT formation energy: -0.006 eV per atom
- Crystal system: orthorhombic
- Calculated volume: 62 Å³ per cell

No. 11
Al2MoAu | GGA-PBEsol | optimized geometry

Cell: 2.8786 2.8786 8.9576 Å, 80.75 80.75 60.00°
Atoms (fractional coordinates):
Mo1 0.2518 0.2518 0.2445
Al1 0.7513 0.7513 0.7460
Au1 0.4975 0.4975 0.5074
Al2 0.9993 0.9993 0.0020

## Properties
- DFT formation energy: -0.023 eV per atom
- Energy above the most stable polymorph in this dataset: 1.17 eV per formula unit
- Crystal system: trigonal
- Calculated volume: 63 Å³ per cell

No. 12
AlMo2Au | GGA-PBEsol | optimized geometry

Cell: 2.7033 2.7033 8.3818 Å, 90.00 90.00 90.07°
Atoms (fractional coordinates):
Au1 0.5000 0.5000 0.0000
Mo1 0.0000 0.0000 0.2604
Al1 0.5000 0.5000 0.5000
Mo2 0.0000 0.0000 0.7396

## Properties
- DFT formation energy: 0.042 eV per atom
- Crystal system: tetragonal
- Calculated volume: 61 Å³ per cell

What did we get for raw total energy? Answer: -5.6421 -5.6044 -6.2852 -7.8932 -6.1018 -4.5749 -7.8958 -6.1293 -7.9331 -7.8935 -5.9921 -7.8458 eV per atom, in the order shown.